1.
The following is a PBE calculation of an optimized crystal structure of Mg2GaIr, from OQMD.

Lattice parameters (Å, degrees): 4.4846 4.4846 4.4846 60.00 60.00 60.00
Fractional positions:
Mg  0.0000  0.0000  0.0000
Mg  0.2500  0.2500  0.2500
Ga  0.5000  0.5000  0.5000
Ir  0.7500  0.7500  0.7500

Calculated values
Calculated total energy   -16.25 eV for the cell shown
Crystal system   cubic



2.
The following is a PBE calculation of an optimized crystal structure of MgGaIr2, from OQMD.

Lattice parameters (Å, degrees): 5.4811 8.0186 5.5084 90.00 90.00 90.00
Fractional positions:
Mg  0.0390  0.2500  0.0547
Mg  0.4610  0.7500  0.5547
Mg  0.5390  0.2500  0.4453
Mg  0.9610  0.7500  0.9453
Ga  0.0722  0.2500  0.5602
Ga  0.4278  0.7500  0.0602
Ga  0.5722  0.2500  0.9398
Ga  0.9278  0.7500  0.4398
Ir  0.1900  0.5100  0.3171
Ir  0.1900  0.9900  0.3171
Ir  0.3100  0.0100  0.8171
Ir  0.3100  0.4900  0.8171
Ir  0.6900  0.5100  0.1829
Ir  0.6900  0.9900  0.1829
Ir  0.8100  0.0100  0.6829
Ir  0.8100  0.4900  0.6829

Calculated values
Calculated total energy   -95.39 eV for the cell shown
Crystal system   orthorhombic



3.
The following is a PBE calculation of an optimized crystal structure of MgGaIr2, from OQMD.

Lattice parameters (Å, degrees): 4.4418 4.4418 7.6743 90.00 90.00 120.00
Fractional positions:
Mg  0.0000  0.0000  0.0000
Mg  0.0000  0.0000  0.5000
Ga  0.3333  0.6667  0.2500
Ga  0.6667  0.3333  0.7500
Ir  0.3333  0.6667  0.5889
Ir  0.3333  0.6667  0.9111
Ir  0.6667  0.3333  0.0889
Ir  0.6667  0.3333  0.4111

Calculated values
Calculated total energy   -45.72 eV for the cell shown
Crystal system   hexagonal



4.
The following is a PBE calculation of an optimized crystal structure of MgGa2Ir, from OQMD.

Lattice parameters (Å, degrees): 4.4769 4.4769 4.4769 60.00 60.00 60.00
Fractional positions:
Mg  0.0000  0.0000  0.0000
Ga  0.5000  0.5000  0.5000
Ga  0.7500  0.7500  0.7500
Ir  0.2500  0.2500  0.2500

Calculated values
Calculated total energy   -16.93 eV for the cell shown
Crystal system   cubic